## CsUCu2Br8 (PBE-GGA)

Data for a geometry-optimized CsUCu2Br8 structure.

Cell: 12.0026 12.0026 12.0026 Å, 32.90 32.90 32.90°
Last column: nearest neighbours and their distance in Å.
Fractional coordinates of all 12 atoms:
Cs 0.0000 0.0000 0.0000  6 Br 3.99
U 0.5000 0.5000 0.5000  6 Br 2.74
Cu 0.2445 0.2445 0.2445  4 Br 2.31-2.50
Cu 0.7555 0.7555 0.7555  4 Br 2.31-2.50
Br 0.1248 0.7758 0.4576  1 Cu 2.50, 1 U 2.74
Br 0.2242 0.5424 0.8752  1 Cu 2.50, 1 U 2.74
Br 0.3124 0.3124 0.3124  1 Cu 2.31
Br 0.4576 0.1248 0.7758  1 Cu 2.50, 1 U 2.74
Br 0.5424 0.8752 0.2242  1 Cu 2.50, 1 U 2.74
Br 0.6876 0.6876 0.6876  1 Cu 2.31
Br 0.7758 0.4576 0.1248  1 Cu 2.50, 1 U 2.74
Br 0.8752 0.2242 0.5424  1 Cu 2.50, 1 U 2.74

Properties
Magnetization   0.8 μB/cell
ΔE_f (raw)   -0.991 eV/atom
V   37.8 Å³/atom

## Cs3UCu2Br9 (PBE-GGA)

Data for a geometry-optimized Cs3UCu2Br9 structure.

Cell: 8.1355 8.1355 10.1474 Å, 90.00 90.00 120.00°
Last column: nearest neighbours and their distance in Å.
Fractional coordinates of all 15 atoms:
Cs 0.0000 0.0000 0.0000  12 Br 4.07-4.15
Cs 0.3333 0.6667 0.6553  1 Cu 3.81, 12 Br 4.00-4.21
Cs 0.6667 0.3333 0.3447  1 Cu 3.81, 12 Br 4.00-4.21
U 0.0000 0.0000 0.5000  6 Br 2.79
Cu 0.3333 0.6667 0.0311  3 Br 2.37
Cu 0.6667 0.3333 0.9689  3 Br 2.37
Br 0.0000 0.5000 0.0000  2 Cu 2.37
Br 0.1616 0.3233 0.3415  1 U 2.79
Br 0.1616 0.8384 0.3415  1 U 2.79
Br 0.3233 0.1616 0.6585  1 U 2.79
Br 0.5000 0.0000 0.0000  2 Cu 2.37
Br 0.5000 0.5000 0.0000  2 Cu 2.37
Br 0.6767 0.8384 0.3415  1 U 2.79
Br 0.8384 0.1616 0.6585  1 U 2.79
Br 0.8384 0.6767 0.6585  1 U 2.79

Properties
Magnetization   2.0 μB/cell
ΔE_f (raw)   -1.236 eV/atom
V   38.8 Å³/atom

## Cs2UCuBr6 (PBE-GGA)

Data for a geometry-optimized Cs2UCuBr6 structure.

Cell: 8.0181 8.0181 6.6112 Å, 90.00 90.00 120.00°
Last column: nearest neighbours and their distance in Å.
Fractional coordinates of all 10 atoms:
Cs 0.3333 0.6667 0.2439  12 Br 3.94-4.16
Cs 0.6667 0.3333 0.7561  12 Br 3.94-4.16
U 0.0000 0.0000 0.5000  6 Br 2.89
Cu 0.0000 0.0000 0.0000  6 Br 2.77
Br 0.1652 0.3305 0.7644  1 Cu 2.77, 1 U 2.89
Br 0.1652 0.8348 0.7644  1 Cu 2.77, 1 U 2.89
Br 0.3305 0.1652 0.2356  1 Cu 2.77, 1 U 2.89
Br 0.6695 0.8348 0.7644  1 Cu 2.77, 1 U 2.89
Br 0.8348 0.1652 0.2356  1 Cu 2.77, 1 U 2.89
Br 0.8348 0.6695 0.2356  1 Cu 2.77, 1 U 2.89

Properties
Magnetization   3.0 μB/cell
ΔE_f (raw)   -1.271 eV/atom
V   36.8 Å³/atom

## CsVCuBr6 (PBE-GGA)

Data for a geometry-optimized CsVCuBr6 structure.

Cell: 6.6364 6.6370 7.2703 Å, 99.66 99.58 102.56°
Last column: nearest neighbours and their distance in Å.
Fractional coordinates of all 9 atoms:
Cs 0.0000 0.0000 0.0000  12 Br 3.81-4.13, 2 Cu 4.09-4.11
V 0.5340 0.4645 0.5002  6 Br 2.40-2.66
Cu 0.1818 0.8142 0.5006  4 Br 2.43-2.46
Br 0.2249 0.1978 0.5506  1 Cu 2.46, 1 V 2.52
Br 0.2604 0.5730 0.2482  1 Cu 2.43, 1 V 2.66
Br 0.4248 0.7383 0.7524  1 Cu 2.43, 1 V 2.66
Br 0.5920 0.2210 0.2422  1 V 2.40
Br 0.7780 0.4085 0.7587  1 V 2.40
Br 0.8000 0.7744 0.4496  1 Cu 2.45, 1 V 2.52

Properties
Magnetization   1.0 μB/cell
ΔE_f (raw)   -0.887 eV/atom
V   33.5 Å³/atom

## CsVCu2Br8 (PBE-GGA)

Data for a geometry-optimized CsVCu2Br8 structure.

Cell: 6.4804 6.4804 10.3654 Å, 96.96 96.96 67.63°
Last column: nearest neighbours and their distance in Å.
Fractional coordinates of all 12 atoms:
Cs 0.0000 0.0000 0.0000  10 Br 3.78-4.10
V 0.0000 0.0000 0.5000  6 Br 2.49
Cu 0.3739 0.3739 0.6964  4 Br 2.32-2.51
Cu 0.6261 0.6261 0.3036  4 Br 2.32-2.51
Br 0.2163 0.7327 0.3261  1 V 2.49, 1 Cu 2.51
Br 0.2306 0.2306 0.4959  1 Cu 2.40, 1 V 2.49
Br 0.2673 0.7837 0.6739  1 V 2.49, 1 Cu 2.51
Br 0.3275 0.3275 0.9083  1 Cu 2.32
Br 0.6725 0.6725 0.0917  1 Cu 2.32
Br 0.7327 0.2163 0.3261  1 V 2.49, 1 Cu 2.51
Br 0.7694 0.7694 0.5041  1 Cu 2.40, 1 V 2.49
Br 0.7837 0.2673 0.6739  1 V 2.49, 1 Cu 2.51

Properties
Magnetization   0.1 μB/cell
ΔE_f (raw)   -0.723 eV/atom
V   33.2 Å³/atom

## Cs2VCuBr6 (PBE-GGA)

Data for a geometry-optimized Cs2VCuBr6 structure.

Cell: 7.5876 7.5876 7.5876 Å, 116.09 116.09 96.91°
Last column: nearest neighbours and their distance in Å.
Fractional coordinates of all 10 atoms:
Cs 0.2500 0.7500 0.5000  12 Br 3.81-4.02
Cs 0.7500 0.2500 0.5000  12 Br 3.81-4.02
V 0.0000 0.0000 0.0000  6 Br 2.55-2.69
Cu 0.5000 0.5000 0.0000  2 Br 2.34
Br 0.2241 0.2241 0.4482  1 V 2.55
Br 0.2241 0.7759 0.0000  1 V 2.55
Br 0.2670 0.2670 0.0000  1 Cu 2.34
Br 0.7330 0.7330 0.0000  1 Cu 2.34
Br 0.7759 0.2241 0.0000  1 V 2.55
Br 0.7759 0.7759 0.5518  1 V 2.55

Properties
Magnetization   2.0 μB/cell
ΔE_f (raw)   -1.082 eV/atom
V   32.5 Å³/atom